First-principles (PBE) data for a relaxed Ta2GaPd crystal, as listed in Alexandria via LeMat-Bulk.

The structure belongs to space group P4/mmm (No. 123); the cell edges are 4.012, 4.012 and 4.121 Å and the angles 90.00°, 90.00° and 90.00°. The asymmetric unit holds Ta at (0.000, 0.500, 0.000), Ga at (0.000, 0.000, 0.500) and Pd at (0.500, 0.500, 0.500).

As for the total energy: -8.210 eV per atom. The value obtained for the density of states at the Fermi level is 0.868 states/eV/atom. The value obtained for the theoretical density is 13.5 g/cm³.